! ReIN2O (PBE, relaxed); values from VASP
! E_tot: -4.53 eV/atom
! E_form (uncorrected): 12.94 eV/f.u.
&SYSTEM
  ibrav = 0, nat = 5, ntyp = 4
/
ATOMIC_SPECIES
Re 186.21 Re.upf
I 126.90 I.upf
N 14.01 N.upf
O 16.00 O.upf
ATOMIC_POSITIONS crystal
Re 0.0000 0.0000 0.0000
I 0.5000 0.5000 0.0000
N 0.0000 0.5000 0.5000
N 0.5000 0.0000 0.5000
O 0.5000 0.5000 0.5000
CELL_PARAMETERS angstrom
3.9125 0.0000 0.0000
0.0000 3.9125 0.0000
0.0000 0.0000 4.1178

***

! CrBiIN2 (PBE, relaxed); values from VASP
! E_tot: -4.74 eV/atom
! E_form (uncorrected): 7.98 eV/f.u.
&SYSTEM
  ibrav = 0, nat = 5, ntyp = 4
/
ATOMIC_SPECIES
Cr 52.00 Cr.upf
Bi 208.98 Bi.upf
I 126.90 I.upf
N 14.01 N.upf
ATOMIC_POSITIONS crystal
Cr 0.0000 0.0000 0.0000
Bi 0.5000 0.5000 0.5000
I 0.5000 0.5000 0.0000
N 0.0000 0.5000 0.5000
N 0.5000 0.0000 0.5000
CELL_PARAMETERS angstrom
4.2894 0.0000 0.0000
0.0000 4.2894 0.0000
0.0000 0.0000 7.1872

***

! Na2HCl3 (PBE, relaxed); values from VASP
! E_tot: -3.27 eV/atom
&SYSTEM
  ibrav = 0, nat = 12, ntyp = 3
/
ATOMIC_SPECIES
Na 22.99 Na.upf
H 1.01 H.upf
Cl 35.45 Cl.upf
ATOMIC_POSITIONS crystal
Na 0.0711 0.5751 0.5000
Na 0.4249 0.9289 0.5000
Na 0.5751 0.0711 0.0000
Na 0.9289 0.4249 0.0000
H 0.4444 0.5556 0.6768
H 0.5556 0.4444 0.1768
Cl 0.0815 0.5795 0.0004
Cl 0.2898 0.7102 0.5003
Cl 0.4205 0.9185 0.0004
Cl 0.5795 0.0815 0.5004
Cl 0.7102 0.2898 0.0003
Cl 0.9185 0.4205 0.5004
CELL_PARAMETERS angstrom
9.2079 -2.7934 0.0000
9.2079 2.7934 0.0000
0.0000 0.0000 5.5628

***

! VRuRh (PBE, relaxed); values from VASP
! E_tot: -8.79 eV/atom
! Energy relative to the elements: -0.207 eV per atom
&SYSTEM
  ibrav = 0, nat = 6, ntyp = 3
/
ATOMIC_SPECIES
V 50.94 V.upf
Ru 101.07 Ru.upf
Rh 102.91 Rh.upf
ATOMIC_POSITIONS crystal
V 0.0863 0.9137 0.5000
V 0.9137 0.0863 0.0000
Ru 0.5926 0.7608 0.0292
Ru 0.7608 0.5926 0.5292
Rh 0.2505 0.4188 0.0175
Rh 0.4188 0.2505 0.5175
CELL_PARAMETERS angstrom
4.0812 -2.3633 0.0000
4.0812 2.3633 0.0000
-2.7711 0.0000 4.3009

***

! CsSi2Ir (PBE, relaxed); values from VASP
! E_tot: -5.40 eV/atom
! E_form (uncorrected): -1.04 eV/f.u.
&SYSTEM
  ibrav = 0, nat = 8, ntyp = 3
/
ATOMIC_SPECIES
Cs 132.91 Cs.upf
Si 28.09 Si.upf
Ir 192.22 Ir.upf
ATOMIC_POSITIONS crystal
Cs 0.3750 0.6250 0.7500
Cs 0.6250 0.3750 0.2500
Si 0.0000 0.0000 0.0000
Si 0.0000 0.0000 0.5000
Si 0.0000 0.5000 0.0000
Si 0.5000 0.0000 0.5000
Ir 0.1250 0.8750 0.2500
Ir 0.8750 0.1250 0.7500
CELL_PARAMETERS angstrom
-3.3020 3.3020 6.0263
3.3020 -3.3020 6.0263
3.3020 3.3020 -6.0263

***

! KInPb (PBE, relaxed); values from VASP
! E_tot: -2.53 eV/atom
! Energy relative to the elements: -0.015 eV per atom
&SYSTEM
  ibrav = 0, nat = 6, ntyp = 3
/
ATOMIC_SPECIES
K 39.10 K.upf
In 114.82 In.upf
Pb 207.20 Pb.upf
ATOMIC_POSITIONS crystal
K 0.2500 0.2500 0.0000
K 0.7500 0.7500 0.0000
In 0.0000 0.5000 0.5000
In 0.5000 0.0000 0.5000
Pb 0.2500 0.7500 0.9750
Pb 0.7500 0.2500 0.0250
CELL_PARAMETERS angstrom
4.0201 -6.3170 0.0000
4.0201 6.3170 0.0000
0.0000 0.0000 4.8429